First-principles (GGA-PBE) data for BaGdCd after structural relaxation, as listed in OQMD via LeMat-Bulk.

It has space group F-43m (No. 216), with a = 7.833 Å, b = 7.833 Å, c = 7.833 Å, α = 90.00°, β = 90.00° and γ = 90.00°. The inequivalent atoms are Ba at (0.000, 0.000, 0.000), Gd at (0.000, 0.000, 0.500) and Cd at (0.250, 0.250, 0.250).

The value obtained for the total energy is -27.9 eV per cell. The calculation puts the total moment at 1.5 Bohr magnetons per cell. The crystal system is cubic. The polymorph energy (0 for the lowest one) is 0.0 meV/atom. The theoretical density comes out at 5.6 g cm⁻³.